1.
Entry from Alexandria: MgBeBr2 after structural relaxation (PBE-GGA).

Output
E above lowest polymorph ... 662.1 meV/atom
Formation energy without anion corrections ... 0.123 eV per atom
Total DFT energy (no corrections) ... -32.70 eV/cell

Cell: 6.999 6.999 6.999 Å, 90.00 90.00 90.00°
Space group Fm-3m (No. 225)
Asymmetric unit:
Mg 0.000 0.000 0.000 x4
Be 0.000 0.000 0.500 x4
Br 0.250 0.250 0.250 x8

2.
Entry from Alexandria: MgBe2Br after structural relaxation (PBE-GGA).

Output
E above lowest polymorph ... 465.9 meV/atom
Formation energy without anion corrections ... 0.590 eV per atom
Total DFT energy (no corrections) ... -8.36 eV/cell

Cell: 3.319 4.573 4.626 Å, 90.00 90.00 90.00°
Space group Pmmm (No. 47)
Asymmetric unit:
Mg 0.000 0.000 0.000 x1
Be 0.500 0.234 0.500 x2
Br 0.500 0.500 0.000 x1

3.
Entry from Alexandria: Mg2BeBr after structural relaxation (PBE-GGA).

Output
E above lowest polymorph ... 0.0 meV/atom
Formation energy without anion corrections ... -0.125 eV per atom
Total DFT energy (no corrections) ... -18.17 eV/cell

Cell: 15.363 3.302 3.303 Å, 90.00 101.96 90.00°
Space group Cm (No. 8)
Asymmetric unit:
Mg 0.000 0.000 0.000 x2
Mg 0.203 0.000 0.197 x2
Be 0.101 0.500 0.596 x2
Br 0.351 0.000 0.848 x2

4.
Entry from Alexandria: Mg2BeBr after structural relaxation (PBE-GGA).

Output
E above lowest polymorph ... 414.7 meV/atom
Formation energy without anion corrections ... 0.290 eV per atom
Total DFT energy (no corrections) ... -7.43 eV/cell

Cell: 3.287 4.465 6.214 Å, 90.00 90.00 90.00°
Space group Pmmm (No. 47)
Asymmetric unit:
Mg 0.000 0.000 0.000 x1
Mg 0.500 0.000 0.500 x1
Be 0.000 0.500 0.500 x1
Br 0.500 0.500 0.000 x1

5.
Entry from Alexandria: Mg2BeBr after structural relaxation (PBE-GGA).

Output
E above lowest polymorph ... 31.1 meV/atom
Formation energy without anion corrections ... -0.093 eV per atom
Total DFT energy (no corrections) ... -26.89 eV/cell

Cell: 3.4482 3.4482 23.4831 Å, 90.00 90.00 120.00°
Space group R-3m (No. 166, hexagonal axes)
Asymmetric unit:
Mg 0.0000 0.0000 0.2419 x6
Be 0.0000 0.0000 0.5000 x3
Br 0.0000 0.0000 0.0000 x3

6.
Entry from Alexandria: Mg2BeBr2 after structural relaxation (PBE-GGA).

Output
Formation energy without anion corrections ... -0.045 eV per atom
Total DFT energy (no corrections) ... -20.97 eV/cell

Cell: 4.862 4.862 11.460 Å, 90.00 90.00 90.00°
Space group I4/mmm (No. 139)
Asymmetric unit:
Mg 0.000 0.000 0.125 x4
Be 0.000 0.000 0.500 x2
Br 0.000 0.500 0.250 x4

7.
Entry from Alexandria: Mg2BeBr after structural relaxation (PBE-GGA).

Output
E above lowest polymorph ... 255.6 meV/atom
Formation energy without anion corrections ... 0.131 eV per atom
Total DFT energy (no corrections) ... -8.06 eV/cell

Cell: 4.546 3.399 5.608 Å, 90.00 103.16 90.00°
Space group P2/m (No. 10)
Asymmetric unit:
Mg 0.000 0.000 0.000 x1
Mg 0.500 0.500 0.500 x1
Be 0.000 0.000 0.500 x1
Br 0.500 0.500 0.000 x1

8.
Entry from Alexandria: MgBeBr2 after structural relaxation (PBE-GGA).

Output
E above lowest polymorph ... 968.6 meV/atom
Formation energy without anion corrections ... 0.430 eV per atom
Total DFT energy (no corrections) ... -27.79 eV/cell

Cell: 7.263 7.263 7.263 Å, 90.00 90.00 90.00°
Space group F-43m (No. 216)
Asymmetric unit:
Mg 0.000 0.000 0.000 x4
Be 0.250 0.250 0.250 x4
Br 0.000 0.000 0.500 x4
Br 0.250 0.250 0.750 x4

9.
Entry from Alexandria: MgBe2Br after structural relaxation (PBE-GGA).

Output
E above lowest polymorph ... 453.5 meV/atom
Formation energy without anion corrections ... 0.577 eV per atom
Total DFT energy (no corrections) ... -33.64 eV/cell

Cell: 7.212 7.212 5.326 Å, 90.00 90.00 90.00°
Space group I-42d (No. 122)
Asymmetric unit:
Mg 0.000 0.000 0.000 x4
Be 0.226 0.750 0.625 x8
Br 0.000 0.000 0.500 x4

10.
Entry from Alexandria: MgBeBr2 after structural relaxation (PBE-GGA).

Output
E above lowest polymorph ... 609.1 meV/atom
Formation energy without anion corrections ... 0.070 eV per atom
Total DFT energy (no corrections) ... -8.39 eV/cell

Cell: 3.651 3.988 6.394 Å, 90.00 90.00 90.00°
Space group Pmmm (No. 47)
Asymmetric unit:
Mg 0.000 0.000 0.000 x1
Be 0.500 0.000 0.500 x1
Br 0.000 0.500 0.500 x1
Br 0.500 0.500 0.000 x1

11.
Entry from Alexandria: MgBeBr2 after structural relaxation (PBE-GGA).

Output
E above lowest polymorph ... 0.0 meV/atom
Formation energy without anion corrections ... -0.539 eV per atom
Total DFT energy (no corrections) ... -21.65 eV/cell

Cell: 6.154 3.553 9.279 Å, 90.00 106.01 90.00°
Space group Cm (No. 8)
Asymmetric unit:
Mg 0.000 0.000 0.000 x2
Be 0.234 0.000 0.762 x2
Br 0.010 0.500 0.625 x2
Br 0.244 0.500 0.186 x2

12.
Entry from Alexandria: MgBe3Br after structural relaxation (PBE-GGA).

Output
E above lowest polymorph ... 0.0 meV/atom
Formation energy without anion corrections ... 1.354 eV per atom
Total DFT energy (no corrections) ... -7.68 eV/cell

Cell: 4.535 4.535 4.535 Å, 90.00 90.00 90.00°
Space group Pm-3m (No. 221)
Asymmetric unit:
Mg 0.000 0.000 0.000 x1
Be 0.000 0.500 0.500 x3
Br 0.500 0.500 0.500 x1

13.
Entry from Alexandria: MgBeBr2 after structural relaxation (PBE-GGA).

Output
E above lowest polymorph ... 451.1 meV/atom
Formation energy without anion corrections ... -0.088 eV per atom
Total DFT energy (no corrections) ... -9.02 eV/cell

Cell: 4.176 3.591 9.422 Å, 90.00 100.80 90.00°
Space group P2/m (No. 10)
Asymmetric unit:
Mg 0.000 0.000 0.000 x1
Be 0.500 0.000 0.500 x1
Br 0.154 0.500 0.830 x2

14.
Entry from Alexandria: Mg2BeBr after structural relaxation (PBE-GGA).

Output
E above lowest polymorph ... 321.4 meV/atom
Formation energy without anion corrections ... 0.197 eV per atom
Total DFT energy (no corrections) ... -15.60 eV/cell

Cell: 6.314 7.860 3.260 Å, 90.00 90.00 90.00°
Space group Cmmm (No. 65)
Asymmetric unit:
Mg 0.250 0.250 0.000 x4
Be 0.000 0.000 0.500 x2
Br 0.000 0.500 0.500 x2

15.
Entry from Alexandria: MgBeBr2 after structural relaxation (PBE-GGA).

Output
E above lowest polymorph ... 285.7 meV/atom
Formation energy without anion corrections ... -0.253 eV per atom
Total DFT energy (no corrections) ... -29.04 eV/cell

Cell: 3.7782 3.7782 34.0646 Å, 90.00 90.00 120.00°
Space group R-3m (No. 166, hexagonal axes)
Asymmetric unit:
Mg 0.0000 0.0000 0.0000 x3
Be 0.0000 0.0000 0.5000 x3
Br 0.0000 0.0000 0.3787 x6

Record-wise total magnetic moment values, in μB/atom: 0.0000 0.0000 0.0000 0.0000 0.0000 0.0000 0.0000 0.0000 0.0000 0.0001 0.0000 0.0000 0.0000 0.0000 0.0000
Record-wise V values, in Å³/f.u.: 85.7 70.2 82.0 91.2 80.6 135.4 84.4 95.8 69.3 93.1 97.5 93.3 138.8 80.9 140.4